Version w
An optimized crystal structure of TmTh2Sc4, computed with PBE.

Output
Space group   Pbam (55)
Crystal system   orthorhombic

Structure (extended XYZ):
```
28
Lattice="10.909 0.000 0.000 0.000 20.970 0.000 0.000 0.000 3.379" Properties=species:S:1:pos:R:3 pbc="T T T"
Tm 1.368 3.692 0.000
Tm 4.087 14.177 0.000
Tm 6.822 6.793 0.000
Tm 9.541 17.277 0.000
Th 1.230 18.706 1.689
Th 1.288 9.444 0.000
Th 4.166 19.929 0.000
Th 4.225 8.221 1.689
Th 6.684 12.749 1.689
Th 6.742 1.041 0.000
Th 9.621 11.525 0.000
Th 9.679 2.264 1.689
Sc 1.321 6.523 1.689
Sc 1.349 15.644 0.000
Sc 1.421 0.623 0.000
Sc 1.572 12.652 1.689
Sc 3.882 2.168 1.689
Sc 4.034 11.108 0.000
Sc 4.105 5.159 0.000
Sc 4.133 17.008 1.689
Sc 6.776 3.962 1.689
Sc 6.803 15.811 0.000
Sc 6.875 9.862 0.000
Sc 7.027 18.802 1.689
Sc 9.336 8.317 1.689
Sc 9.488 20.347 0.000
Sc 9.560 5.326 0.000
Sc 9.587 14.447 1.689
```


Version x
An optimized crystal structure of TmTh2Sc4, computed with PBE.

Output
Space group   Cmmm (65)
Crystal system   orthorhombic

Structure (extended XYZ):
```
7
Lattice="2.687 -10.877 0.000 2.687 10.877 0.000 0.000 0.000 3.355" Properties=species:S:1:pos:R:3 pbc="T T T"
Tm 0.000 0.000 0.000
Th 2.687 1.572 1.678
Th 2.687 -1.572 1.678
Sc 2.687 7.429 1.678
Sc 2.687 4.588 0.000
Sc 2.687 -4.588 0.000
Sc 2.687 -7.429 1.678
```


version w wins, 3.5 kJ/mol of atoms ahead of the next structure.


Version w
An optimized crystal structure of Tm5Th2Sc4, computed with PBE.

Output
Space group   Immm (71)
Crystal system   orthorhombic

Structure (extended XYZ):
```
11
Lattice="-1.686 3.540 13.797 1.686 -3.540 13.797 1.686 3.540 -13.797" Properties=species:S:1:pos:R:3 pbc="T T T"
Tm 0.000 0.000 0.000
Tm 1.686 1.832 -5.399
Tm 1.686 1.832 5.399
Tm 0.000 1.708 8.398
Tm 0.000 1.708 19.196
Th 1.686 0.000 2.801
Th 0.000 3.540 10.996
Sc 1.686 2.319 0.000
Sc 1.686 0.000 11.078
Sc 0.000 3.540 2.719
Sc 0.000 1.220 13.797
```


Version x
An optimized crystal structure of Tm5Th2Sc4, computed with PBE.

Output
Space group   P2/m (10)
Crystal system   monoclinic

Structure (extended XYZ):
```
11
Lattice="8.344 0.000 0.000 0.000 3.413 0.000 -1.361 0.000 11.319" Properties=species:S:1:pos:R:3 pbc="T T T"
Tm 0.000 0.000 0.000
Tm -0.027 0.000 3.339
Tm 1.682 0.000 9.833
Tm 5.301 0.000 1.486
Tm 7.010 0.000 7.980
Th 3.366 0.000 4.088
Th 3.617 0.000 7.231
Sc 0.881 1.706 6.089
Sc 2.416 1.706 1.390
Sc 4.567 1.706 9.929
Sc 6.102 1.706 5.230
```


version x wins, 24.9 kJ/mol of atoms ahead of the next structure.


Version w
An optimized crystal structure of Tm7ThSc3, computed with PBE.

Output
Space group   P3m1 (156)
Crystal system   trigonal

Structure (extended XYZ):
```
11
Lattice="6.870 0.000 0.000 -3.435 5.950 0.000 0.000 0.000 8.223" Properties=species:S:1:pos:R:3 pbc="T T T"
Tm 0.000 0.000 0.000
Tm 0.000 1.969 5.360
Tm -1.730 4.965 5.360
Tm 3.435 0.031 8.198
Tm 1.744 2.960 8.198
Tm 1.730 4.965 5.360
Tm 5.126 2.960 8.198
Th 3.435 1.983 5.395
Sc 1.733 1.000 2.691
Sc 5.138 1.000 2.691
Sc 3.435 3.949 2.691
```


Version x
An optimized crystal structure of Tm7ThSc3, computed with PBE.

Output
Space group   P2/m (10)
Crystal system   monoclinic

Structure (extended XYZ):
```
11
Lattice="6.632 0.000 0.000 0.000 5.359 0.000 -2.856 0.000 9.113" Properties=species:S:1:pos:R:3 pbc="T T T"
Tm 0.000 0.000 0.000
Tm 0.120 2.679 2.585
Tm 0.371 2.679 5.810
Tm 0.488 0.000 7.570
Tm 3.287 0.000 1.542
Tm 3.404 2.679 3.302
Tm 3.655 2.679 6.527
Th -1.428 0.000 4.556
Sc -0.987 2.679 9.034
Sc 1.888 0.000 4.556
Sc 4.763 2.679 0.079
```


version x wins, 6.6 kJ/mol of atoms ahead of the next structure.